(1)
# CdCo2P PBE relaxed
# Total energy (eV/atom): -4.8408
# Energy relative to the lowest polymorph listed for this composition (meV/atom): 432
# Energy of formation (eV per atom): 0.293
# DOS at the Fermi energy (states/eV/cell): 3.91
data_CdCo2P
_cell_length_a 4.0012
_cell_length_b 4.0012
_cell_length_c 3.2490
_cell_angle_alpha 90.00
_cell_angle_beta 90.00
_cell_angle_gamma 90.00
_space_group_name_H-M_alt 'P 4/m m m'
_space_group_IT_number 123
_space_group_name_Hall '-P 4 2'
loop_
_atom_site_label
_atom_site_fract_x
_atom_site_fract_y
_atom_site_fract_z
Cd1 0.0000 0.0000 0.0000
Co1 0.0000 0.5000 0.5000
P1 0.5000 0.5000 0.0000



(2)
# NaPt2 PBE relaxed
# Total energy (eV/atom): -4.6467
# Energy relative to the lowest polymorph listed for this composition (meV/atom): 207
# Energy of formation (eV per atom): -0.180
# DOS at the Fermi energy (states/eV/cell): 2.98
data_NaPt2
_cell_length_a 2.7178
_cell_length_b 4.4200
_cell_length_c 10.1699
_cell_angle_alpha 90.00
_cell_angle_beta 90.00
_cell_angle_gamma 90.00
_space_group_name_H-M_alt 'I m m m'
_space_group_IT_number 71
_space_group_name_Hall '-I 2 2'
loop_
_atom_site_label
_atom_site_fract_x
_atom_site_fract_y
_atom_site_fract_z
Na1 0.0000 0.0000 0.0000
Pt1 0.0000 0.0000 0.2740



(3)
# TiCdNF2 PBE relaxed
# Total energy (eV/atom): -4.4807
# Uncorrected formation energy (eV per formula unit): -1.53
# Energy relative to the lowest polymorph listed for this composition (meV/atom): 1252
# DOS at the Fermi energy (states/eV/cell): 2.04
data_TiCdNF2
_cell_length_a 4.1958
_cell_length_b 4.1958
_cell_length_c 4.4670
_cell_angle_alpha 90.00
_cell_angle_beta 90.00
_cell_angle_gamma 90.00
_space_group_name_H-M_alt 'P 4/m m m'
_space_group_IT_number 123
_space_group_name_Hall '-P 4 2'
loop_
_atom_site_label
_atom_site_fract_x
_atom_site_fract_y
_atom_site_fract_z
Ti1 0.0000 0.0000 0.0000
Cd1 0.5000 0.5000 0.5000
N1 0.5000 0.5000 0.0000
F1 0.0000 0.5000 0.5000



(4)
# HPd3Ru PBE relaxed
# Total energy (eV/atom): -3.9876
# Energy relative to the lowest polymorph listed for this composition (meV/atom): 1445
# DOS at the Fermi energy (states/eV/cell): 5.37
data_HPd3Ru
_cell_length_a 4.8252
_cell_length_b 4.8252
_cell_length_c 4.8252
_cell_angle_alpha 90.00
_cell_angle_beta 90.00
_cell_angle_gamma 90.00
_space_group_name_H-M_alt 'P m -3 m'
_space_group_IT_number 221
_space_group_name_Hall '-P 4 2 3'
loop_
_atom_site_label
_atom_site_fract_x
_atom_site_fract_y
_atom_site_fract_z
H1 0.0000 0.0000 0.0000
Pd1 0.0000 0.5000 0.5000
Ru1 0.5000 0.5000 0.5000



(5)
# Ba2Li2Hg PBE relaxed
# Total energy (eV/atom): -1.6941
# Energy relative to the lowest polymorph listed for this composition (meV/atom): 91
# Energy of formation (eV per atom): -0.099
# DOS at the Fermi energy (states/eV/cell): 9.45
data_Ba2Li2Hg
_cell_length_a 7.8995
_cell_length_b 7.8995
_cell_length_c 5.4565
_cell_angle_alpha 90.00
_cell_angle_beta 90.00
_cell_angle_gamma 90.00
_space_group_name_H-M_alt 'P 4/m b m'
_space_group_IT_number 127
_space_group_name_Hall '-P 4 2ab'
loop_
_atom_site_label
_atom_site_fract_x
_atom_site_fract_y
_atom_site_fract_z
Ba1 0.1893 0.3107 0.0000
Li1 0.1288 0.6288 0.5000
Hg1 0.0000 0.0000 0.5000



(6)
# TbNi2P PBE relaxed
# Total energy (eV/atom): -6.1641
# Energy of formation (eV per atom): -0.763
# DOS at the Fermi energy (states/eV/cell): 6.86
data_TbNi2P
_cell_length_a 3.7461
_cell_length_b 3.7461
_cell_length_c 8.8092
_cell_angle_alpha 90.00
_cell_angle_beta 90.00
_cell_angle_gamma 90.00
_space_group_name_H-M_alt 'P 4/n m m'
_space_group_IT_number 129
loop_
_space_group_symop_operation_xyz
'x,y,z'
'-x,-y,-z'
'-y+1/2,x,z'
'y+1/2,-x,-z'
'-x+1/2,-y+1/2,z'
'x+1/2,y+1/2,-z'
'y,-x+1/2,z'
'-y,x+1/2,-z'
'x+1/2,-y,-z'
'-x+1/2,y,z'
'-y,-x,-z'
'y,x,z'
'-x,y+1/2,-z'
'x,-y+1/2,z'
'y+1/2,x+1/2,-z'
'-y+1/2,-x+1/2,z'
loop_
_atom_site_label
_atom_site_fract_x
_atom_site_fract_y
_atom_site_fract_z
Tb1 0.2500 0.2500 0.2247
Ni1 0.2500 0.2500 0.9111
Ni2 0.2500 0.7500 0.5000
P1 0.2500 0.2500 0.6500



(7)
# MnTlZn2 PBE relaxed
# Total energy (eV/atom): -3.3123
# Energy relative to the lowest polymorph listed for this composition (meV/atom): 0
# Energy of formation (eV per atom): 0.209
# DOS at the Fermi energy (states/eV/cell): 1.69
data_MnTlZn2
_cell_length_a 3.0786
_cell_length_b 3.0786
_cell_length_c 7.6736
_cell_angle_alpha 90.00
_cell_angle_beta 90.00
_cell_angle_gamma 90.00
_space_group_name_H-M_alt 'P 4/m m m'
_space_group_IT_number 123
_space_group_name_Hall '-P 4 2'
loop_
_atom_site_label
_atom_site_fract_x
_atom_site_fract_y
_atom_site_fract_z
Mn1 0.0000 0.0000 0.0000
Tl1 0.0000 0.0000 0.5000
Zn1 0.5000 0.5000 0.1919



(8)
# ZrCuAs2 PBE relaxed
# Total energy (eV/atom): -5.8552
# Energy of formation (eV per atom): -0.369
# DOS at the Fermi energy (states/eV/cell): 1.18
data_ZrCuAs2
_cell_length_a 2.9888
_cell_length_b 4.6244
_cell_length_c 5.3206
_cell_angle_alpha 90.00
_cell_angle_beta 101.25
_cell_angle_gamma 90.00
_space_group_name_H-M_alt 'P 1 m 1'
_space_group_IT_number 6
loop_
_space_group_symop_operation_xyz
'x,y,z'
'x,-y,z'
loop_
_atom_site_label
_atom_site_fract_x
_atom_site_fract_y
_atom_site_fract_z
Zr1 0.0000 0.0000 0.0000
Cu1 0.4740 0.5000 0.6973
As1 0.3143 0.0000 0.5478
As2 0.6062 0.5000 0.1783